Run i
First-principles (PBEsol) data for Li after structural relaxation, as listed in Alexandria via LeMat-Bulk.

Results
Magnetization in μB per formula unit: 0.0
Crystal system: tetragonal

Unit cell a=3.0897 b=3.0897 c=4.1741 alpha=90.00 beta=90.00 gamma=90.00
Closest atoms and distances in Å follow each position.
Space group I4/mmm (No. 139)
Symmetry-distinct sites (fractional):
1 Li 0.0000 0.0000 0.0000  12 Li 3.02-3.09

Run ii
First-principles (PBEsol) data for Li after structural relaxation, as listed in Alexandria via LeMat-Bulk.

Results
Magnetization in μB per formula unit: 0.0
Crystal system: orthorhombic

Unit cell a=3.0439 b=4.9961 c=10.5626 alpha=90.00 beta=90.00 gamma=90.00
Closest atoms and distances in Å follow each position.
Space group Fmmm (No. 69)
Symmetry-distinct sites (fractional):
1 Li 0.0000 0.0000 0.1301  9 Li 2.75-3.04

Run iii
First-principles (PBEsol) data for Li after structural relaxation, as listed in Alexandria via LeMat-Bulk.

Results
Magnetization in μB per formula unit: 0.0
Crystal system: hexagonal

Unit cell a=2.9155 b=2.9155 c=2.7063 alpha=90.00 beta=90.00 gamma=120.00
Closest atoms and distances in Å follow each position.
Space group P6/mmm (No. 191)
Symmetry-distinct sites (fractional):
1 Li 0.0000 0.0000 0.0000  8 Li 2.71-2.92

Run iv
First-principles (PBEsol) data for Li after structural relaxation, as listed in Alexandria via LeMat-Bulk.

Results
Magnetization in μB per formula unit: 0.0
Crystal system: tetragonal

Unit cell a=5.2968 b=5.2968 c=2.8598 alpha=90.00 beta=90.00 gamma=90.00
Closest atoms and distances in Å follow each position.
Space group I4_1/amd (No. 141, origin choice 2)
Symmetry-distinct sites (fractional):
1 Li 0.0000 0.2500 0.3750  6 Li 2.74-2.86

The structure with the least stability is run iv.

Run i
First-principles (PBEsol) data for Li3Mg5 after structural relaxation, as listed in Alexandria via LeMat-Bulk.

Results
Magnetization in μB per formula unit: 0.0
Crystal system: orthorhombic

Unit cell a=6.9984 b=9.6635 c=4.7926 alpha=90.00 beta=90.00 gamma=90.00
Closest atoms and distances in Å follow each position.
Space group Cmmm (No. 65)
Symmetry-distinct sites (fractional):
1 Li 0.0000 0.0000 0.0000  8 Mg 2.89-2.98
2 Li 0.0000 0.2601 0.5000  8 Mg 2.97-2.99
3 Mg 0.0000 0.5000 0.0000  8 Mg 2.98-3.04, 4 Li 3.33
4 Mg 0.2319 0.0000 0.5000  6 Li 2.89-2.99, 2 Mg 3.04
5 Mg 0.2500 0.2500 0.0000  6 Li 2.97-2.98, 2 Mg 2.98

Run ii
First-principles (PBEsol) data for Li3Mg5 after structural relaxation, as listed in Alexandria via LeMat-Bulk.

Results
Magnetization in μB per formula unit: 0.0
Crystal system: tetragonal

Unit cell a=10.8865 b=10.8865 c=5.4884 alpha=90.00 beta=90.00 gamma=90.00
Closest atoms and distances in Å follow each position.
Space group I4/mcm (No. 140)
Symmetry-distinct sites (fractional):
1 Li 0.0000 0.0000 0.2500  2 Li 2.74, 8 Mg 2.92
2 Li 0.1716 0.3284 0.0000  10 Mg 2.82-3.15
3 Mg 0.0000 0.5000 0.2500  2 Mg 2.74, 4 Li 2.98
4 Mg 0.0749 0.2244 0.5000  6 Li 2.82-3.15, 1 Mg 3.09

The structure with the least stability is run ii.

Run i
First-principles (PBEsol) data for Li3Mg5 after structural relaxation, as listed in Alexandria via LeMat-Bulk.

Results
Magnetization in μB per formula unit: 0.0
Crystal system: tetragonal

Unit cell a=6.8472 b=6.8472 c=6.9423 alpha=90.00 beta=90.00 gamma=90.00
Closest atoms and distances in Å follow each position.
Space group I4/mmm (No. 139)
Symmetry-distinct sites (fractional):
1 Li 0.0000 0.0000 0.0000  8 Mg 2.98
2 Li 0.0000 0.5000 0.0000  8 Mg 2.98
3 Mg 0.0000 0.0000 0.5000  8 Mg 2.98
4 Mg 0.2500 0.2500 0.2500  6 Li 2.98, 2 Mg 2.98

Run ii
First-principles (PBEsol) data for Li3Mg5 after structural relaxation, as listed in Alexandria via LeMat-Bulk.

Results
Magnetization in μB per formula unit: 0.0
Crystal system: hexagonal

Unit cell a=8.2096 b=8.2096 c=5.6190 alpha=90.00 beta=90.00 gamma=120.00
Closest atoms and distances in Å follow each position.
Space group P6_3/mcm (No. 193)
Symmetry-distinct sites (fractional):
1 Li 0.0000 0.4022 0.2500  9 Mg 2.87-3.12
2 Mg 0.0000 0.2362 0.7500  5 Li 2.87-3.12
3 Mg 0.3333 0.6667 0.0000  2 Mg 2.81, 6 Li 2.87

The structure with the least stability is run ii.

Run i
First-principles (PBEsol) data for LiMg5 after structural relaxation, as listed in Alexandria via LeMat-Bulk.

Results
Magnetization in μB per formula unit: 0.0
Crystal system: monoclinic

Unit cell a=3.1392 b=5.0682 c=8.3003 alpha=90.00 beta=101.04 gamma=90.00
Closest atoms and distances in Å follow each position.
Space group Pm (No. 6)
Symmetry-distinct sites (fractional):
1 Li 0.0000 0.0000 0.0000  10 Mg 3.10-3.12, 2 Li 3.14
2 Mg 0.2222 0.5000 0.4448  12 Mg 3.12-3.16
3 Mg 0.3353 0.0000 0.6705  2 Li 3.11, 10 Mg 3.11-3.19
4 Mg 0.5550 0.5000 0.1086  8 Mg 3.09-3.16, 4 Li 3.11
5 Mg 0.6645 0.0000 0.3299  2 Li 3.11-3.12, 10 Mg 3.11-3.19
6 Mg 0.8906 0.5000 0.7811  10 Mg 3.09-3.16, 2 Li 3.10

Run ii
First-principles (PBEsol) data for LiMg5 after structural relaxation, as listed in Alexandria via LeMat-Bulk.

Results
Magnetization in μB per formula unit: 0.0
Crystal system: orthorhombic

Unit cell a=4.3766 b=13.2132 c=4.5000 alpha=90.00 beta=90.00 gamma=90.00
Closest atoms and distances in Å follow each position.
Space group Cmmm (No. 65)
Symmetry-distinct sites (fractional):
1 Li 0.0000 0.0000 0.0000  12 Mg 3.09-3.14
2 Mg 0.0000 0.1658 0.5000  10 Mg 3.10-3.17, 2 Li 3.14
3 Mg 0.0000 0.3346 0.0000  2 Li 3.09, 10 Mg 3.13-3.17
4 Mg 0.0000 0.5000 0.5000  8 Mg 3.10-3.14, 4 Li 3.14

The structure with the least stability is run ii.

Run i
First-principles (PBEsol) data for LiMg5 after structural relaxation, as listed in Alexandria via LeMat-Bulk.

Results
Magnetization in μB per formula unit: 0.0
Crystal system: hexagonal

Unit cell a=3.1506 b=3.1506 c=15.0770 alpha=90.00 beta=90.00 gamma=120.00
Closest atoms and distances in Å follow each position.
Space group P-6m2 (No. 187)
Symmetry-distinct sites (fractional):
1 Li 0.0000 0.0000 0.0000  6 Mg 3.01, 6 Li 3.15
2 Mg 0.0000 0.0000 0.3307  12 Mg 3.13-3.16
3 Mg 0.6667 0.3333 0.1594  3 Li 3.01, 9 Mg 3.15-3.16
4 Mg 0.6667 0.3333 0.5000  12 Mg 3.13-3.15

Run ii
First-principles (PBEsol) data for LiMg5 after structural relaxation, as listed in Alexandria via LeMat-Bulk.

Results
Magnetization in μB per formula unit: 0.0
Crystal system: monoclinic

Unit cell a=11.4274 b=3.1757 c=7.3632 alpha=90.00 beta=104.58 gamma=90.00
Closest atoms and distances in Å follow each position.
Space group Cm (No. 8)
Symmetry-distinct sites (fractional):
1 Li 0.0000 0.0000 0.0000  10 Mg 3.05-3.15, 2 Li 3.18
2 Mg 0.0540 0.0000 0.6103  1 Li 3.08, 11 Mg 3.09-3.18
3 Mg 0.1685 0.5000 0.3342  10 Mg 3.07-3.18, 2 Li 3.15
4 Mg 0.2179 0.5000 0.9437  9 Mg 3.07-3.18, 3 Li 3.07-3.15
5 Mg 0.3359 0.0000 0.6743  2 Li 3.09, 10 Mg 3.09-3.20
6 Mg 0.3900 0.0000 0.2692  2 Li 3.05, 10 Mg 3.10-3.20

The structure with the least stability is run i.

Run i
First-principles (PBEsol) data for LiMg5 after structural relaxation, as listed in Alexandria via LeMat-Bulk.

Results
Magnetization in μB per formula unit: 0.0
Crystal system: hexagonal

Unit cell a=5.4586 b=5.4586 c=5.0166 alpha=90.00 beta=90.00 gamma=120.00
Closest atoms and distances in Å follow each position.
Space group P-62m (No. 189)
Symmetry-distinct sites (fractional):
1 Li 0.0000 0.0000 0.0000  12 Mg 3.09-3.15
2 Mg 0.0000 0.3295 0.5000  2 Li 3.09, 10 Mg 3.11-3.17
3 Mg 0.3333 0.6667 0.0000  9 Mg 3.11-3.15, 3 Li 3.15

Run ii
First-principles (PBEsol) data for LiMg5 after structural relaxation, as listed in Alexandria via LeMat-Bulk.

Results
Magnetization in μB per formula unit: 0.0
Crystal system: tetragonal

Unit cell a=3.2881 b=3.2881 c=11.7833 alpha=90.00 beta=90.00 gamma=90.00
Closest atoms and distances in Å follow each position.
Space group P4/mmm (No. 123)
Symmetry-distinct sites (fractional):
1 Li 0.0000 0.0000 0.0000  8 Mg 2.91
2 Mg 0.0000 0.0000 0.3220  12 Mg 3.10-3.29
3 Mg 0.5000 0.5000 0.1479  4 Li 2.91, 4 Mg 3.10
4 Mg 0.5000 0.5000 0.5000  12 Mg 3.13-3.29

The structure with the least stability is run ii.

Run i
First-principles (PBEsol) data for Li4Mg after structural relaxation, as listed in Alexandria via LeMat-Bulk.

Results
Magnetization in μB per formula unit: 0.0
Crystal system: tetragonal

Unit cell a=6.7037 b=6.7037 c=4.3884 alpha=90.00 beta=90.00 gamma=90.00
Closest atoms and distances in Å follow each position.
Space group I4/m (No. 87)
Symmetry-distinct sites (fractional):
1 Li 0.0968 0.7010 0.0000  9 Li 2.98-3.08, 3 Mg 3.02-3.04
2 Mg 0.0000 0.0000 0.5000  12 Li 3.02-3.04

Run ii
First-principles (PBEsol) data for Li4Mg after structural relaxation, as listed in Alexandria via LeMat-Bulk.

Results
Magnetization in μB per formula unit: 0.0
Crystal system: cubic

Unit cell a=6.4901 b=6.4901 c=6.4901 alpha=90.00 beta=90.00 gamma=90.00
Closest atoms and distances in Å follow each position.
Space group Im-3m (No. 229)
Symmetry-distinct sites (fractional):
1 Li 0.2500 0.2500 0.2500  2 Mg 2.81
2 Mg 0.0000 0.0000 0.0000  8 Li 2.81

The structure with the least stability is run ii.

Run i
First-principles (PBEsol) data for Li3Mg4 after structural relaxation, as listed in Alexandria via LeMat-Bulk.

Results
Magnetization in μB per formula unit: 0.0
Crystal system: hexagonal

Unit cell a=5.3381 b=5.3381 c=5.7254 alpha=90.00 beta=90.00 gamma=120.00
Closest atoms and distances in Å follow each position.
Space group P6/mmm (No. 191)
Symmetry-distinct sites (fractional):
1 Li 0.0000 0.5000 0.0000  4 Li 2.67
2 Mg 0.0000 0.0000 0.2546  2 Mg 2.81-2.92, 6 Li 3.04
3 Mg 0.3333 0.6667 0.5000  9 Mg 3.08-3.39, 6 Li 3.25

Run ii
First-principles (PBEsol) data for Li3Mg4 after structural relaxation, as listed in Alexandria via LeMat-Bulk.

Results
Magnetization in μB per formula unit: 0.0
Crystal system: tetragonal

Unit cell a=3.3648 b=3.3648 c=24.8140 alpha=90.00 beta=90.00 gamma=90.00
Closest atoms and distances in Å follow each position.
Space group I4/mmm (No. 139)
Symmetry-distinct sites (fractional):
1 Li 0.0000 0.0000 0.0000  8 Mg 2.92
2 Li 0.0000 0.0000 0.2816  4 Li 2.85, 4 Mg 2.95
3 Mg 0.0000 0.0000 0.1484  4 Li 2.95, 4 Mg 3.11
4 Mg 0.0000 0.0000 0.4321  4 Li 2.92, 4 Mg 3.11

The structure with the least stability is run i.

Run i
First-principles (PBEsol) data for LiMg2Mo after structural relaxation, as listed in Alexandria via LeMat-Bulk.

Results
Magnetization in μB per formula unit: 0.0
Crystal system: orthorhombic

Unit cell a=3.5087 b=4.2723 c=9.4771 alpha=90.00 beta=90.00 gamma=90.00
Closest atoms and distances in Å follow each position.
Space group Cmmm (No. 65)
Symmetry-distinct sites (fractional):
1 Li 0.0000 0.0000 0.0000  4 Li 2.76, 4 Mg 3.05
2 Mg 0.0000 0.5000 0.2628  4 Mg 2.76, 2 Mo 2.85, 2 Li 3.05
3 Mo 0.0000 0.0000 0.5000  4 Mo 2.76, 4 Mg 2.85

Run ii
First-principles (PBEsol) data for LiMg2Mo after structural relaxation, as listed in Alexandria via LeMat-Bulk.

Results
Magnetization in μB per formula unit: 0.0
Crystal system: orthorhombic

Unit cell a=2.7600 b=4.9696 c=10.0504 alpha=90.00 beta=90.00 gamma=90.00
Closest atoms and distances in Å follow each position.
Space group Imm2 (No. 44)
Symmetry-distinct sites (fractional):
1 Li 0.0000 0.0000 0.0000  2 Li 2.76, 6 Mg 2.81-2.84, 2 Mo 2.82
2 Mg 0.0000 0.0000 0.5058  4 Mg 2.76-2.98, 4 Li 2.84, 2 Mo 2.86
3 Mg 0.0000 0.5000 0.7431  4 Mg 2.76-2.98, 2 Li 2.81, 4 Mo 2.84
4 Mo 0.0000 0.5000 0.2553  2 Mo 2.76, 2 Li 2.82, 6 Mg 2.84-2.86

The structure with the least stability is run ii.

Run i
First-principles (PBEsol) data for Li7MgNi7O16 after structural relaxation, as listed in Alexandria via LeMat-Bulk.

Results
Magnetization in μB per formula unit: 5.1
Crystal system: triclinic

Unit cell a=4.9680 b=5.7314 c=9.8437 alpha=73.67 beta=79.74 gamma=89.96
Closest atoms and distances in Å follow each position.
Space group P-1 (No. 2)
Symmetry-distinct sites (fractional):
1 Li 0.0000 0.0000 0.0000  6 O 2.02-2.22
2 Li 0.2310 0.3827 0.7525  6 O 1.99-2.19
3 Li 0.2400 0.8697 0.7580  6 O 2.02-2.21
4 Li 0.4960 0.7424 0.5034  6 O 2.01-2.23
5 Mg 0.0000 0.0000 0.5000  6 O 2.03-2.06
6 Ni 0.0000 0.5000 0.5000  6 O 1.90-2.04
7 Ni 0.2573 0.3693 0.2499  6 O 1.85-2.03
8 Ni 0.2666 0.8655 0.2519  6 O 1.86-1.91
9 Ni 0.4927 0.2505 0.0000  6 O 1.86-2.07
10 O 0.0825 0.2042 0.6277  2 Ni 1.89-1.90, 1 Mg 2.03, 1 Li 2.03
11 O 0.0874 0.6741 0.6269  2 Ni 1.89-1.91, 1 Li 1.99, 1 Mg 2.03
12 O 0.1578 0.1506 0.1335  3 Ni 1.86-2.03, 2 Li 2.02-2.06
13 O 0.1713 0.6792 0.1362  3 Ni 1.88-1.91, 1 Li 2.08
14 O 0.3732 0.0637 0.3624  2 Ni 1.91-1.94, 3 Li 2.04-2.13, 1 Mg 2.06
15 O 0.3765 0.5744 0.3687  3 Ni 1.88-2.04, 3 Li 2.01-2.07
16 O 0.3927 0.0781 0.8789  3 Ni 1.88-2.07, 2 Li 2.07-2.09
17 O 0.4112 0.5815 0.8776  3 Ni 1.85-2.03, 1 Li 2.02

Run ii
First-principles (PBEsol) data for Li7MgNi7O16 after structural relaxation, as listed in Alexandria via LeMat-Bulk.

Results
Magnetization in μB per formula unit: 5.1
Crystal system: monoclinic

Unit cell a=9.8287 b=11.4464 c=4.8910 alpha=90.00 beta=109.27 gamma=90.00
Closest atoms and distances in Å follow each position.
Space group C2 (No. 5)
Symmetry-distinct sites (fractional):
1 Li 0.0000 0.0000 0.0000  6 O 2.02-2.13
2 Li 0.0000 0.2410 0.0000  6 O 2.06-2.11
3 Li 0.0000 0.4993 0.0000  6 O 2.11-2.15
4 Li 0.2364 0.6157 0.9654  4 O 1.94-2.10
5 Li 0.2465 0.3705 0.0001  6 O 1.93-2.14
6 Mg 0.0000 0.7359 0.0000  6 O 2.02-2.12
7 Ni 0.0000 0.1208 0.5000  6 O 1.91-2.02
8 Ni 0.0000 0.3709 0.5000  6 O 1.86-1.92
9 Ni 0.0000 0.8713 0.5000  6 O 1.87-1.92
10 Ni 0.2456 0.4963 0.5000  6 O 1.86-2.02
11 Ni 0.2483 0.7435 0.5034  6 O 1.89-2.00
12 O 0.1177 0.2450 0.7101  3 Ni 1.91-1.93, 2 Li 2.11-2.12
13 O 0.1202 0.9964 0.7077  3 Ni 1.91-1.92, 1 Li 2.13
14 O 0.1215 0.8698 0.2709  3 Ni 1.89-2.02, 1 Li 2.09
15 O 0.1259 0.7613 0.7343  2 Ni 1.87-1.91, 1 Li 1.94, 1 Mg 2.09
16 O 0.1277 0.4806 0.7269  2 Ni 1.86, 2 Li 1.93-2.02
17 O 0.1296 0.3672 0.2805  3 Ni 1.92-1.96, 2 Li 2.06-2.11
18 O 0.1340 0.1183 0.2626  3 Ni 1.95-2.02, 3 Li 1.95-2.06
19 O 0.1437 0.6235 0.2591  2 Ni 1.89-1.93, 2 Li 1.94-2.11, 1 Mg 2.02

The structure with the least stability is run ii.

Run i
First-principles (PBEsol) data for LiMgPt after structural relaxation, as listed in Alexandria via LeMat-Bulk.

Results
Magnetization in μB per formula unit: 0.0
Crystal system: trigonal

Unit cell a=4.2571 b=4.2571 c=2.8128 alpha=90.00 beta=90.00 gamma=120.00
Closest atoms and distances in Å follow each position.
Space group P3m1 (No. 156)
Symmetry-distinct sites (fractional):
1 Li 0.0000 0.0000 0.0000  3 Pt 2.57, 3 Mg 2.61, 2 Li 2.81
2 Mg 0.6667 0.3333 0.3170  3 Li 2.61, 3 Pt 2.73, 2 Mg 2.81
3 Pt 0.3333 0.6667 0.7369  3 Li 2.57, 3 Mg 2.73, 2 Pt 2.81

Run ii
First-principles (PBEsol) data for LiMgPt after structural relaxation, as listed in Alexandria via LeMat-Bulk.

Results
Magnetization in μB per formula unit: 0.0
Crystal system: cubic

Unit cell a=5.7666 b=5.7666 c=5.7666 alpha=90.00 beta=90.00 gamma=90.00
Closest atoms and distances in Å follow each position.
Space group F-43m (No. 216)
Symmetry-distinct sites (fractional):
1 Li 0.0000 0.0000 0.0000  4 Mg 2.50, 4 Pt 2.50
2 Mg 0.2500 0.2500 0.7500  4 Li 2.50
3 Pt 0.2500 0.2500 0.2500  4 Li 2.50

The structure with the least stability is run ii.